A plane-wave DFT calculation with GGA-PBE was carried out for crystalline CaGeBr3 at its relaxed geometry.

- Formation energy without anion corrections: -0.79 eV/atom
- Space group: No. 221
- Relative energy among the computed polymorphs: 0 meV/atom

a b c (Å): 5.6000 5.6000 5.6000
angles (deg): 90.00 90.00 90.00
Element x y z (fractional)
Ca  0.0000  0.0000  0.0000
Ge  0.5000  0.5000  0.5000
Br  0.0000  0.0000  0.5000
Br  0.0000  0.5000  0.0000
Br  0.5000  0.0000  0.0000